*i*
! CsCd2SnHg, optimized geometry, DFT PBE; values from VASP
! SG = No. 11
&SYSTEM
  ibrav = 0, nat = 10, ntyp = 4
/
ATOMIC_SPECIES
Cs 132.91 Cs.upf
Cd 112.41 Cd.upf
Sn 118.71 Sn.upf
Hg 200.59 Hg.upf
CELL_PARAMETERS angstrom
8.300 0.000 0.000
0.000 4.867 0.000
-3.155 0.000 8.870
ATOMIC_POSITIONS crystal
Cs 0.203 0.250 0.408
Cs 0.797 0.750 0.592
Cd 0.279 0.250 0.971
Cd 0.454 0.750 0.171
Cd 0.546 0.250 0.829
Cd 0.721 0.750 0.029
Sn 0.326 0.750 0.768
Sn 0.674 0.250 0.232
Hg 0.093 0.750 0.084
Hg 0.907 0.250 0.916

*ii*
! CsCd2SnHg, optimized geometry, DFT PBE; values from VASP
! SG = No. 123
&SYSTEM
  ibrav = 0, nat = 5, ntyp = 4
/
ATOMIC_SPECIES
Cs 132.91 Cs.upf
Cd 112.41 Cd.upf
Sn 118.71 Sn.upf
Hg 200.59 Hg.upf
CELL_PARAMETERS angstrom
5.747 0.000 0.000
0.000 5.747 0.000
0.000 0.000 6.101
ATOMIC_POSITIONS crystal
Cs 0.000 0.000 0.000
Cd 0.000 0.500 0.500
Cd 0.500 0.000 0.500
Sn 0.500 0.500 0.500
Hg 0.500 0.500 0.000

Relative energy table, unit meV per atom: *i* 0; *ii* 120

*i*
! CsTlCd2Hg, optimized geometry, DFT PBE; values from VASP
! SG = No. 123
&SYSTEM
  ibrav = 0, nat = 5, ntyp = 4
/
ATOMIC_SPECIES
Cs 132.91 Cs.upf
Tl 204.38 Tl.upf
Cd 112.41 Cd.upf
Hg 200.59 Hg.upf
CELL_PARAMETERS angstrom
5.853 0.000 0.000
0.000 5.853 0.000
0.000 0.000 5.796
ATOMIC_POSITIONS crystal
Cs 0.000 0.000 0.000
Tl 0.500 0.500 0.000
Cd 0.000 0.500 0.500
Cd 0.500 0.000 0.500
Hg 0.500 0.500 0.500

*ii*
! CsTlCd2Hg, optimized geometry, DFT PBE; values from VASP
! SG = No. 44
&SYSTEM
  ibrav = 0, nat = 5, ntyp = 4
/
ATOMIC_SPECIES
Cs 132.91 Cs.upf
Tl 204.38 Tl.upf
Cd 112.41 Cd.upf
Hg 200.59 Hg.upf
CELL_PARAMETERS angstrom
-2.598 2.619 6.367
2.598 -2.619 6.367
2.598 2.619 -6.367
ATOMIC_POSITIONS crystal
Cs 0.000 0.000 0.000
Tl 0.247 0.747 0.500
Cd 0.372 0.372 0.000
Cd 0.751 0.251 0.500
Hg 0.613 0.613 0.000

Relative energy table, unit meV per atom: *i* 156; *ii* 0

*i*
! CsZnCdHg2, optimized geometry, DFT PBE; values from VASP
! SG = No. 123
&SYSTEM
  ibrav = 0, nat = 5, ntyp = 4
/
ATOMIC_SPECIES
Cs 132.91 Cs.upf
Zn 65.41 Zn.upf
Cd 112.41 Cd.upf
Hg 200.59 Hg.upf
CELL_PARAMETERS angstrom
5.572 0.000 0.000
0.000 5.572 0.000
0.000 0.000 5.347
ATOMIC_POSITIONS crystal
Cs 0.000 0.000 0.000
Zn 0.500 0.500 0.500
Cd 0.500 0.500 0.000
Hg 0.000 0.500 0.500
Hg 0.500 0.000 0.500

*ii*
! CsZnCdHg2, optimized geometry, DFT PBE; values from VASP
! SG = No. 123
&SYSTEM
  ibrav = 0, nat = 5, ntyp = 4
/
ATOMIC_SPECIES
Cs 132.91 Cs.upf
Zn 65.41 Zn.upf
Cd 112.41 Cd.upf
Hg 200.59 Hg.upf
CELL_PARAMETERS angstrom
5.815 0.000 0.000
0.000 5.815 0.000
0.000 0.000 5.338
ATOMIC_POSITIONS crystal
Cs 0.000 0.000 0.000
Zn 0.500 0.500 0.000
Cd 0.500 0.500 0.500
Hg 0.000 0.500 0.500
Hg 0.500 0.000 0.500

Relative energy table, unit meV per atom: *i* 0; *ii* 53

*i*
! Cs2Cd3I8, optimized geometry, DFT PBE; values from VASP
! SG = No. 12
&SYSTEM
  ibrav = 0, nat = 13, ntyp = 3
/
ATOMIC_SPECIES
Cs 132.91 Cs.upf
Cd 112.41 Cd.upf
I 126.90 I.upf
CELL_PARAMETERS angstrom
9.281 -4.465 0.000
9.281 4.465 0.000
-2.273 0.000 7.550
ATOMIC_POSITIONS crystal
Cs 0.240 0.240 0.174
Cs 0.760 0.760 0.826
Cd 0.243 0.757 0.500
Cd 0.500 0.500 0.000
Cd 0.757 0.243 0.500
I 0.104 0.104 0.455
I 0.173 0.645 0.114
I 0.355 0.827 0.886
I 0.405 0.405 0.603
I 0.595 0.595 0.397
I 0.645 0.173 0.114
I 0.827 0.355 0.886
I 0.896 0.896 0.545

*ii*
! Cs2Cd3I8, optimized geometry, DFT PBE; values from VASP
! SG = No. 12
&SYSTEM
  ibrav = 0, nat = 13, ntyp = 3
/
ATOMIC_SPECIES
Cs 132.91 Cs.upf
Cd 112.41 Cd.upf
I 126.90 I.upf
CELL_PARAMETERS angstrom
8.979 -5.757 0.000
8.979 5.757 0.000
-2.754 0.000 6.680
ATOMIC_POSITIONS crystal
Cs 0.231 0.231 0.054
Cs 0.769 0.769 0.946
Cd 0.173 0.827 0.500
Cd 0.500 0.500 0.000
Cd 0.827 0.173 0.500
I 0.105 0.105 0.429
I 0.192 0.626 0.144
I 0.359 0.359 0.668
I 0.374 0.808 0.856
I 0.626 0.192 0.144
I 0.641 0.641 0.332
I 0.808 0.374 0.856
I 0.895 0.895 0.571

Relative energy table, unit meV per atom: *i* 20; *ii* 0

*i*
! Cs3CdI6, optimized geometry, DFT PBE; values from VASP
! SG = No. 225
&SYSTEM
  ibrav = 0, nat = 10, ntyp = 3
/
ATOMIC_SPECIES
Cs 132.91 Cs.upf
Cd 112.41 Cd.upf
I 126.90 I.upf
CELL_PARAMETERS angstrom
0.000 6.583 6.583
6.583 0.000 6.583
6.583 6.583 0.000
ATOMIC_POSITIONS crystal
Cs 0.000 0.000 0.000
Cs 0.250 0.250 0.250
Cs 0.750 0.750 0.750
Cd 0.500 0.500 0.500
I 0.274 0.274 0.726
I 0.274 0.726 0.274
I 0.274 0.726 0.726
I 0.726 0.274 0.274
I 0.726 0.274 0.726
I 0.726 0.726 0.274

*ii*
! Cs3CdI6, optimized geometry, DFT PBE; values from VASP
! SG = No. 36
&SYSTEM
  ibrav = 0, nat = 20, ntyp = 3
/
ATOMIC_SPECIES
Cs 132.91 Cs.upf
Cd 112.41 Cd.upf
I 126.90 I.upf
CELL_PARAMETERS angstrom
8.282 -10.643 0.000
8.282 10.643 0.000
0.000 0.000 6.792
ATOMIC_POSITIONS crystal
Cs 0.118 0.882 0.500
Cs 0.197 0.437 0.529
Cs 0.437 0.197 0.029
Cs 0.563 0.803 0.529
Cs 0.803 0.563 0.029
Cs 0.882 0.118 0.000
Cd 0.294 0.706 0.097
Cd 0.706 0.294 0.597
I 0.086 0.625 0.206
I 0.160 0.163 0.267
I 0.163 0.160 0.767
I 0.286 0.714 0.684
I 0.375 0.914 0.206
I 0.424 0.576 0.187
I 0.576 0.424 0.687
I 0.625 0.086 0.706
I 0.714 0.286 0.184
I 0.837 0.840 0.267
I 0.840 0.837 0.767
I 0.914 0.375 0.706

Relative energy table, unit meV per atom: *i* 143; *ii* 0

*i*
! Cs2Cd2I5, optimized geometry, DFT PBE; values from VASP
! SG = No. 12
&SYSTEM
  ibrav = 0, nat = 9, ntyp = 3
/
ATOMIC_SPECIES
Cs 132.91 Cs.upf
Cd 112.41 Cd.upf
I 126.90 I.upf
CELL_PARAMETERS angstrom
8.293 -3.136 0.000
8.293 3.136 0.000
-3.136 0.000 8.624
ATOMIC_POSITIONS crystal
Cs 0.102 0.102 0.304
Cs 0.898 0.898 0.696
Cd 0.349 0.349 0.115
Cd 0.651 0.651 0.885
I 0.155 0.155 0.915
I 0.351 0.351 0.434
I 0.500 0.500 0.000
I 0.649 0.649 0.566
I 0.845 0.845 0.085

*ii*
! Cs2Cd2I5, optimized geometry, DFT PBE; values from VASP
! SG = No. 123
&SYSTEM
  ibrav = 0, nat = 9, ntyp = 3
/
ATOMIC_SPECIES
Cs 132.91 Cs.upf
Cd 112.41 Cd.upf
I 126.90 I.upf
CELL_PARAMETERS angstrom
6.028 0.000 0.000
0.000 6.028 0.000
0.000 0.000 11.971
ATOMIC_POSITIONS crystal
Cs 0.000 0.000 0.000
Cs 0.000 0.000 0.500
Cd 0.500 0.500 0.247
Cd 0.500 0.500 0.753
I 0.000 0.500 0.216
I 0.000 0.500 0.784
I 0.500 0.000 0.216
I 0.500 0.000 0.784
I 0.500 0.500 0.500

Relative energy table, unit meV per atom: *i* 9; *ii* 0

*i*
! Cs2CdI4, optimized geometry, DFT PBE; values from VASP
! SG = No. 11
&SYSTEM
  ibrav = 0, nat = 14, ntyp = 3
/
ATOMIC_SPECIES
Cs 132.91 Cs.upf
Cd 112.41 Cd.upf
I 126.90 I.upf
CELL_PARAMETERS angstrom
8.473 0.000 0.000
0.000 8.528 0.000
-3.558 0.000 10.374
ATOMIC_POSITIONS crystal
Cs 0.212 0.250 0.046
Cs 0.282 0.250 0.577
Cs 0.718 0.750 0.423
Cs 0.788 0.750 0.954
Cd 0.208 0.750 0.790
Cd 0.792 0.250 0.210
I 0.014 0.508 0.272
I 0.014 0.992 0.272
I 0.379 0.750 0.058
I 0.416 0.750 0.635
I 0.584 0.250 0.365
I 0.621 0.250 0.942
I 0.986 0.008 0.728
I 0.986 0.492 0.728

*ii*
! Cs2CdI4, optimized geometry, DFT PBE; values from VASP
! SG = No. 139
&SYSTEM
  ibrav = 0, nat = 7, ntyp = 3
/
ATOMIC_SPECIES
Cs 132.91 Cs.upf
Cd 112.41 Cd.upf
I 126.90 I.upf
CELL_PARAMETERS angstrom
-3.049 3.049 9.481
3.049 -3.049 9.481
3.049 3.049 -9.481
ATOMIC_POSITIONS crystal
Cs 0.137 0.137 0.000
Cs 0.863 0.863 0.000
Cd 0.500 0.500 0.000
I 0.000 0.500 0.500
I 0.343 0.343 0.000
I 0.500 0.000 0.500
I 0.657 0.657 0.000

Relative energy table, unit meV per atom: *i* 0; *ii* 52

*i*
! CsCd2I2, optimized geometry, DFT PBE; values from VASP
! SG = No. 127
&SYSTEM
  ibrav = 0, nat = 10, ntyp = 3
/
ATOMIC_SPECIES
Cs 132.91 Cs.upf
Cd 112.41 Cd.upf
I 126.90 I.upf
CELL_PARAMETERS angstrom
9.672 0.000 0.000
0.000 9.672 0.000
0.000 0.000 4.488
ATOMIC_POSITIONS crystal
Cs 0.000 0.000 0.000
Cs 0.500 0.500 0.000
Cd 0.102 0.398 0.000
Cd 0.398 0.898 0.000
Cd 0.602 0.102 0.000
Cd 0.898 0.602 0.000
I 0.225 0.725 0.500
I 0.275 0.225 0.500
I 0.725 0.775 0.500
I 0.775 0.275 0.500

*ii*
! CsCd2I2, optimized geometry, DFT PBE; values from VASP
! SG = No. 139
&SYSTEM
  ibrav = 0, nat = 5, ntyp = 3
/
ATOMIC_SPECIES
Cs 132.91 Cs.upf
Cd 112.41 Cd.upf
I 126.90 I.upf
CELL_PARAMETERS angstrom
-3.136 3.136 5.374
3.136 -3.136 5.374
3.136 3.136 -5.374
ATOMIC_POSITIONS crystal
Cs 0.000 0.000 0.000
Cd 0.367 0.367 0.000
Cd 0.633 0.633 0.000
I 0.250 0.750 0.500
I 0.750 0.250 0.500

Relative energy table, unit meV per atom: *i* 83; *ii* 0

*i*
! CsCdI2N, optimized geometry, DFT PBE; values from VASP
! SG = No. 123
&SYSTEM
  ibrav = 0, nat = 5, ntyp = 4
/
ATOMIC_SPECIES
Cs 132.91 Cs.upf
Cd 112.41 Cd.upf
I 126.90 I.upf
N 14.01 N.upf
CELL_PARAMETERS angstrom
6.382 0.000 0.000
0.000 6.382 0.000
0.000 0.000 4.490
ATOMIC_POSITIONS crystal
Cs 0.000 0.000 0.000
Cd 0.500 0.500 0.500
I 0.000 0.500 0.500
I 0.500 0.000 0.500
N 0.500 0.500 0.000

*ii*
! CsCdI2N, optimized geometry, DFT PBE; values from VASP
! SG = No. 123
&SYSTEM
  ibrav = 0, nat = 5, ntyp = 4
/
ATOMIC_SPECIES
Cs 132.91 Cs.upf
Cd 112.41 Cd.upf
I 126.90 I.upf
N 14.01 N.upf
CELL_PARAMETERS angstrom
5.827 0.000 0.000
0.000 5.827 0.000
0.000 0.000 8.062
ATOMIC_POSITIONS crystal
Cs 0.000 0.000 0.000
Cd 0.000 0.000 0.500
I 0.000 0.500 0.500
I 0.500 0.000 0.500
N 0.500 0.500 0.000

Relative energy table, unit meV per atom: *i* 0; *ii* 550

*i*
! Cs2CdPtI6, optimized geometry, DFT PBE; values from VASP
! SG = No. 166
&SYSTEM
  ibrav = 0, nat = 20, ntyp = 4
/
ATOMIC_SPECIES
Cs 132.91 Cs.upf
Cd 112.41 Cd.upf
Pt 195.08 Pt.upf
I 126.90 I.upf
CELL_PARAMETERS angstrom
4.116 2.376 14.277
-4.116 2.376 14.277
0.000 -4.753 14.277
ATOMIC_POSITIONS crystal
Cs 0.119 0.119 0.119
Cs 0.298 0.298 0.298
Cs 0.702 0.702 0.702
Cs 0.881 0.881 0.881
Cd 0.413 0.413 0.413
Cd 0.587 0.587 0.587
Pt 0.000 0.000 0.000
Pt 0.500 0.500 0.500
I 0.140 0.623 0.623
I 0.199 0.199 0.718
I 0.199 0.718 0.199
I 0.282 0.801 0.801
I 0.377 0.377 0.860
I 0.377 0.860 0.377
I 0.623 0.140 0.623
I 0.623 0.623 0.140
I 0.718 0.199 0.199
I 0.801 0.282 0.801
I 0.801 0.801 0.282
I 0.860 0.377 0.377

*ii*
! Cs2CdPtI6, optimized geometry, DFT PBE; values from VASP
! SG = No. 139
&SYSTEM
  ibrav = 0, nat = 10, ntyp = 4
/
ATOMIC_SPECIES
Cs 132.91 Cs.upf
Cd 112.41 Cd.upf
Pt 195.08 Pt.upf
I 126.90 I.upf
CELL_PARAMETERS angstrom
-4.258 4.258 6.031
4.258 -4.258 6.031
4.258 4.258 -6.031
ATOMIC_POSITIONS crystal
Cs 0.250 0.750 0.500
Cs 0.750 0.250 0.500
Cd 0.000 0.000 0.000
Pt 0.500 0.500 0.000
I 0.226 0.226 0.000
I 0.279 0.279 0.558
I 0.279 0.721 0.000
I 0.721 0.279 0.000
I 0.721 0.721 0.442
I 0.774 0.774 0.000

Relative energy table, unit meV per atom: *i* 46; *ii* 0

*i*
! CsCd3In, optimized geometry, DFT PBE; values from VASP
! SG = No. 74
&SYSTEM
  ibrav = 0, nat = 10, ntyp = 3
/
ATOMIC_SPECIES
Cs 132.91 Cs.upf
Cd 112.41 Cd.upf
In 114.82 In.upf
CELL_PARAMETERS angstrom
-3.449 5.635 4.641
3.449 -5.635 4.641
3.449 5.635 -4.641
ATOMIC_POSITIONS crystal
Cs 0.349 0.099 0.250
Cs 0.651 0.901 0.750
Cd 0.143 0.393 0.750
Cd 0.186 0.000 0.686
Cd 0.186 0.500 0.186
Cd 0.814 0.000 0.314
Cd 0.814 0.500 0.814
Cd 0.857 0.607 0.250
In 0.000 0.500 0.500
In 0.500 0.500 0.000

*ii*
! CsCd3In, optimized geometry, DFT PBE; values from VASP
! SG = No. 14
&SYSTEM
  ibrav = 0, nat = 20, ntyp = 3
/
ATOMIC_SPECIES
Cs 132.91 Cs.upf
Cd 112.41 Cd.upf
In 114.82 In.upf
CELL_PARAMETERS angstrom
9.849 0.000 0.000
0.000 6.779 0.000
-3.224 0.000 9.848
ATOMIC_POSITIONS crystal
Cs 0.122 0.056 0.202
Cs 0.122 0.444 0.702
Cs 0.878 0.556 0.298
Cs 0.878 0.944 0.798
Cd 0.154 0.549 0.068
Cd 0.154 0.951 0.568
Cd 0.304 0.567 0.378
Cd 0.304 0.933 0.878
Cd 0.446 0.748 0.666
Cd 0.446 0.752 0.166
Cd 0.554 0.248 0.834
Cd 0.554 0.252 0.334
Cd 0.696 0.067 0.122
Cd 0.696 0.433 0.622
Cd 0.846 0.049 0.432
Cd 0.846 0.451 0.932
In 0.410 0.185 0.545
In 0.410 0.315 0.045
In 0.590 0.685 0.955
In 0.590 0.815 0.455

*iii*
! CsCd3In, optimized geometry, DFT PBE; values from VASP
! SG = No. 221
&SYSTEM
  ibrav = 0, nat = 5, ntyp = 3
/
ATOMIC_SPECIES
Cs 132.91 Cs.upf
Cd 112.41 Cd.upf
In 114.82 In.upf
CELL_PARAMETERS angstrom
5.784 0.000 0.000
0.000 5.784 0.000
0.000 0.000 5.784
ATOMIC_POSITIONS crystal
Cs 0.000 0.000 0.000
Cd 0.000 0.500 0.500
Cd 0.500 0.000 0.500
Cd 0.500 0.500 0.000
In 0.500 0.500 0.500

Relative energy table, unit meV per atom: *i* 5; *ii* 0; *iii* 97